Record 1
# AcSmTmLu

An optimized crystal structure of AcSmTmLu (GGA-PBE, the Alexandria database). Values from VASP.

Results
* total magnetization: 0.00 μB/f.u.
* DFT formation energy: 2.32 kcal/mol of atoms

The structure in Quantum ESPRESSO input format:
```
&SYSTEM
  ibrav = 0, nat = 4, ntyp = 4
/
ATOMIC_SPECIES
Tm 168.93 Tm.upf
Sm 150.36 Sm.upf
Lu 174.97 Lu.upf
Ac 227.00 Ac.upf
ATOMIC_POSITIONS crystal
Tm 0.5000 0.5000 0.5000
Sm 0.2500 0.2500 0.2500
Lu 0.0000 0.0000 0.0000
Ac 0.7500 0.7500 0.7500
CELL_PARAMETERS angstrom
5.8017 0.0000 0.0000
2.9009 5.0244 0.0000
2.9009 1.6748 4.7371
```


Record 2
# AcSmYLu

An optimized crystal structure of AcSmYLu (GGA-PBE, the Alexandria database). Values from VASP.

Results
* total magnetization: 0.00 μB/f.u.
* DFT formation energy: 3.74 kcal/mol of atoms

The structure in Quantum ESPRESSO input format:
```
&SYSTEM
  ibrav = 0, nat = 4, ntyp = 4
/
ATOMIC_SPECIES
Y 88.91 Y.upf
Ac 227.00 Ac.upf
Sm 150.36 Sm.upf
Lu 174.97 Lu.upf
ATOMIC_POSITIONS crystal
Y 0.7500 0.7500 0.7500
Ac 0.0000 0.0000 0.0000
Sm 0.2500 0.2500 0.2500
Lu 0.5000 0.5000 0.5000
CELL_PARAMETERS angstrom
5.8331 0.0000 0.0000
2.9165 5.0516 0.0000
2.9165 1.6839 4.7627
```


Record 3
# AcSmLuZn

An optimized crystal structure of AcSmLuZn (GGA-PBE, the Alexandria database). Values from VASP.

Results
* total magnetization: 0.00 μB/f.u.
* DFT formation energy: 4.64 kcal/mol of atoms

The structure in Quantum ESPRESSO input format:
```
&SYSTEM
  ibrav = 0, nat = 4, ntyp = 4
/
ATOMIC_SPECIES
Sm 150.36 Sm.upf
Zn 65.41 Zn.upf
Ac 227.00 Ac.upf
Lu 174.97 Lu.upf
ATOMIC_POSITIONS crystal
Sm 0.2500 0.2500 0.2500
Zn 0.0000 0.0000 0.0000
Ac 0.5000 0.5000 0.5000
Lu 0.7500 0.7500 0.7500
CELL_PARAMETERS angstrom
-3.1266 -3.0743 3.3621
1.6007 -5.1121 1.3544
1.7136 -1.0880 5.1391
```


Record 4
# AcLuSn2

An optimized crystal structure of AcLuSn2 (GGA-PBE, the Alexandria database). Values from VASP.

Results
* total magnetization: 0.00 μB/f.u.
* DFT formation energy: -13.31 kcal/mol of atoms

The structure in Quantum ESPRESSO input format:
```
&SYSTEM
  ibrav = 0, nat = 4, ntyp = 3
/
ATOMIC_SPECIES
Lu 174.97 Lu.upf
Sn 118.71 Sn.upf
Ac 227.00 Ac.upf
ATOMIC_POSITIONS crystal
Lu 0.5000 0.5000 0.5000
Sn 0.0000 0.0000 0.2906
Sn 0.0000 0.0000 0.7094
Ac 0.5000 0.5000 0.0000
CELL_PARAMETERS angstrom
-0.8154 2.3395 3.2180
-2.5086 -2.8519 1.4377
5.4737 -3.0118 3.5765
```


Record 5
# AcLuSn2

An optimized crystal structure of AcLuSn2 (GGA-PBE, the Alexandria database). Values from VASP.

Results
* total magnetization: 0.00 μB/f.u.
* DFT formation energy: -11.77 kcal/mol of atoms

The structure in Quantum ESPRESSO input format:
```
&SYSTEM
  ibrav = 0, nat = 4, ntyp = 3
/
ATOMIC_SPECIES
Sn 118.71 Sn.upf
Lu 174.97 Lu.upf
Ac 227.00 Ac.upf
ATOMIC_POSITIONS crystal
Sn 0.0000 0.5000 0.0000
Lu 0.5000 0.0000 0.0000
Ac 0.5000 0.5000 0.5000
Sn 0.0000 0.0000 0.5000
CELL_PARAMETERS angstrom
-2.1771 -2.3707 -3.1541
-3.3506 -1.6714 3.5690
-3.0473 4.0693 -0.9552
```


Record 6
# AcLuSn2

An optimized crystal structure of AcLuSn2 (GGA-PBE, the Alexandria database). Values from VASP.

Results
* total magnetization: 0.00 μB/f.u.
* DFT formation energy: -9.60 kcal/mol of atoms

The structure in Quantum ESPRESSO input format:
```
&SYSTEM
  ibrav = 0, nat = 4, ntyp = 3
/
ATOMIC_SPECIES
Ac 227.00 Ac.upf
Sn 118.71 Sn.upf
Lu 174.97 Lu.upf
ATOMIC_POSITIONS crystal
Ac 0.5000 0.5000 0.5000
Sn 0.7424 0.7424 0.7729
Lu 0.0000 0.0000 0.0000
Sn 0.2576 0.2576 0.2271
CELL_PARAMETERS angstrom
-0.5216 -0.4952 3.8312
3.0643 0.0640 2.4086
-0.2011 9.3366 3.1624
```


Record 7
# AcLuTlSn

An optimized crystal structure of AcLuTlSn (GGA-PBE, the Alexandria database). Values from VASP.

Results
* total magnetization: 0.00 μB/f.u.
* DFT formation energy: -9.03 kcal/mol of atoms

The structure in Quantum ESPRESSO input format:
```
&SYSTEM
  ibrav = 0, nat = 4, ntyp = 4
/
ATOMIC_SPECIES
Sn 118.71 Sn.upf
Tl 204.38 Tl.upf
Ac 227.00 Ac.upf
Lu 174.97 Lu.upf
ATOMIC_POSITIONS crystal
Sn 0.7500 0.7500 0.7500
Tl 0.2500 0.2500 0.2500
Ac 0.0000 0.0000 0.0000
Lu 0.5000 0.5000 0.5000
CELL_PARAMETERS angstrom
-0.1279 -5.5019 -0.8334
4.4289 -3.1141 1.2917
-0.2097 -3.4692 4.3476
```


Record 8
# AcTmLuSn

An optimized crystal structure of AcTmLuSn (GGA-PBE, the Alexandria database). Values from VASP.

Results
* total magnetization: 0.07 μB/f.u.
* DFT formation energy: -2.25 kcal/mol of atoms

The structure in Quantum ESPRESSO input format:
```
&SYSTEM
  ibrav = 0, nat = 4, ntyp = 4
/
ATOMIC_SPECIES
Sn 118.71 Sn.upf
Tm 168.93 Tm.upf
Ac 227.00 Ac.upf
Lu 174.97 Lu.upf
ATOMIC_POSITIONS crystal
Sn 0.2500 0.2500 0.2500
Tm 0.0000 0.0000 0.0000
Ac 0.7500 0.7500 0.7500
Lu 0.5000 0.5000 0.5000
CELL_PARAMETERS angstrom
-3.5760 0.6353 -4.1210
-4.5125 -3.1240 -0.2269
-4.9306 2.2229 0.9602
```


Record 9
# AcLuZnSn

An optimized crystal structure of AcLuZnSn (GGA-PBE, the Alexandria database). Values from VASP.

Results
* total magnetization: 0.00 μB/f.u.
* DFT formation energy: -8.82 kcal/mol of atoms

The structure in Quantum ESPRESSO input format:
```
&SYSTEM
  ibrav = 0, nat = 4, ntyp = 4
/
ATOMIC_SPECIES
Lu 174.97 Lu.upf
Zn 65.41 Zn.upf
Ac 227.00 Ac.upf
Sn 118.71 Sn.upf
ATOMIC_POSITIONS crystal
Lu 0.5000 0.5000 0.5000
Zn 0.7500 0.7500 0.7500
Ac 0.0000 0.0000 0.0000
Sn 0.2500 0.2500 0.2500
CELL_PARAMETERS angstrom
5.4000 0.0000 0.0000
2.7000 4.6766 0.0000
2.7000 1.5589 4.4091
```


Record 10
# SrAc2Lu

An optimized crystal structure of SrAc2Lu (GGA-PBE, the Alexandria database). Values from VASP.

Results
* total magnetization: 0.00 μB/f.u.
* excess energy over the best structure of this formula in the dataset: 8.08 kJ per mole of atoms
* DFT formation energy: 3.62 kcal/mol of atoms

The structure in Quantum ESPRESSO input format:
```
&SYSTEM
  ibrav = 0, nat = 4, ntyp = 3
/
ATOMIC_SPECIES
Sr 87.62 Sr.upf
Ac 227.00 Ac.upf
Lu 174.97 Lu.upf
ATOMIC_POSITIONS crystal
Sr 0.5000 0.0000 0.0000
Ac 0.0000 0.5000 0.0000
Ac 0.0000 0.0000 0.5000
Lu 0.5000 0.5000 0.5000
CELL_PARAMETERS angstrom
-4.3904 -2.7675 0.1271
2.6083 -3.9974 3.0607
-1.5338 2.6523 4.7711
```


Record 11
# SrAc2Lu

An optimized crystal structure of SrAc2Lu (GGA-PBE, the Alexandria database). Values from VASP.

Results
* total magnetization: 0.00 μB/f.u.
* excess energy over the best structure of this formula in the dataset: 0.00 kJ per mole of atoms
* DFT formation energy: 1.69 kcal/mol of atoms

The structure in Quantum ESPRESSO input format:
```
&SYSTEM
  ibrav = 0, nat = 4, ntyp = 3
/
ATOMIC_SPECIES
Ac 227.00 Ac.upf
Sr 87.62 Sr.upf
Lu 174.97 Lu.upf
ATOMIC_POSITIONS crystal
Ac 0.0000 0.0000 0.2168
Ac 0.0000 0.0000 0.7832
Sr 0.5000 0.5000 0.5000
Lu 0.5000 0.5000 0.0000
CELL_PARAMETERS angstrom
-4.0133 -0.2815 -0.0349
0.2598 -3.8465 1.1506
-0.2983 3.0009 10.0999
```


Record 12
# SrAc2Lu

An optimized crystal structure of SrAc2Lu (GGA-PBE, the Alexandria database). Values from VASP.

Results
* total magnetization: 0.00 μB/f.u.
* excess energy over the best structure of this formula in the dataset: 7.10 kJ per mole of atoms
* DFT formation energy: 3.39 kcal/mol of atoms

The structure in Quantum ESPRESSO input format:
```
&SYSTEM
  ibrav = 0, nat = 4, ntyp = 3
/
ATOMIC_SPECIES
Ac 227.00 Ac.upf
Lu 174.97 Lu.upf
Sr 87.62 Sr.upf
ATOMIC_POSITIONS crystal
Ac 0.2500 0.2500 0.2500
Lu 0.0000 0.0000 0.0000
Sr 0.5000 0.5000 0.5000
Ac 0.7500 0.7500 0.7500
CELL_PARAMETERS angstrom
6.1873 0.0000 0.0000
3.0937 5.3584 0.0000
3.0937 1.7861 5.0519
```


E in eV per atom, matching the order above: -4.354, -4.791, -3.454, -4.736, -4.669, -4.575, -4.141, -4.374, -3.859, -3.448, -3.532, -3.458